# TiFeS4

A relaxed structure of TiFeS4 (PBE, the Alexandria database).

a b c (Å): 5.9128 5.5743 5.6788
angles (deg): 90.00 93.17 90.00
With the nearest neighbours (Å) after each atom.
Fractional coordinates of all 12 atoms:
Ti1 0.0000 0.0000 0.0000  6 S 2.37-2.58
Ti2 0.0000 0.5000 0.5000  6 S 2.37-2.58
Fe1 0.5000 0.0000 0.5000  6 S 2.24-2.34
Fe2 0.5000 0.5000 0.0000  6 S 2.24-2.34
S1 0.1551 0.1247 0.3731  1 Fe 2.24, 2 Ti 2.37-2.41
S2 0.1551 0.3753 0.8731  1 Fe 2.24, 2 Ti 2.37-2.41
S3 0.3957 0.6234 0.3722  2 Fe 2.29-2.34, 1 S 2.31
S4 0.3957 0.8766 0.8722  2 Fe 2.29-2.34, 1 S 2.31
S5 0.6043 0.1234 0.1278  2 Fe 2.29-2.34, 1 S 2.31
S6 0.6043 0.3766 0.6278  2 Fe 2.29-2.34, 1 S 2.31
S7 0.8449 0.6247 0.1269  1 Fe 2.24, 2 Ti 2.37-2.41
S8 0.8449 0.8753 0.6269  1 Fe 2.24, 2 Ti 2.37-2.41

For the total energy, the calculation gives -72.808 eV for the cell shown. The space group is No. 14. The size of the total moment is 0.000 μB per cell.